(1)
VASP calculation (PBE) on a relaxed Si2Bi2N crystal.

Unit cell a=5.9274 b=5.9274 c=5.8524 alpha=90.00 beta=90.00 gamma=90.00
Atoms (fractional coordinates):
Si1 0.2960 0.2040 0.0000
Si2 0.7040 0.7960 0.0000
Si3 0.7960 0.2960 0.0000
Si4 0.2040 0.7040 0.0000
Bi1 0.8043 0.3043 0.5000
Bi2 0.6957 0.8043 0.5000
Bi3 0.3043 0.1957 0.5000
Bi4 0.1957 0.6957 0.5000
N1 0.0000 0.0000 0.0000
N2 0.5000 0.5000 0.0000

Summary:
E above lowest polymorph ... 30.0 kJ per mole of atoms
Formation energy (no corrections) ... 3.51 eV/f.u.

(2)
VASP calculation (PBE) on a relaxed YSbP2 crystal.

Unit cell a=4.9854 b=4.9854 c=4.9854 alpha=60.00 beta=60.00 gamma=60.00
Atoms (fractional coordinates):
P1 0.0000 0.0000 0.0000
P2 0.7500 0.7500 0.7500
Sb1 0.5000 0.5000 0.5000
Y1 0.2500 0.2500 0.2500

Summary:
Formation energy (no corrections) ... 0.44 eV/f.u.

(3)
VASP calculation (PBE) on a relaxed Cd4In2Sn crystal.

Unit cell a=3.2500 b=3.2500 c=19.0977 alpha=85.12 beta=85.12 gamma=60.00
Atoms (fractional coordinates):
In1 0.5695 0.5695 0.2916
In2 0.4305 0.4305 0.7084
Sn1 0.0000 0.0000 0.0000
Cd1 0.1445 0.1445 0.5666
Cd2 0.8555 0.8555 0.4334
Cd3 0.7163 0.7163 0.8512
Cd4 0.2837 0.2837 0.1488

Summary:
E above lowest polymorph ... 0.0 kJ per mole of atoms
ΔE_f ... 0.051 eV/atom

Number 1: V 20.6 Å³/atom, total DFT energy (no corrections) -4.685 eV/atom. Number 2: V 21.9 Å³/atom, total DFT energy (no corrections) -5.241 eV/atom. Number 3: V 24.8 Å³/atom, total DFT energy (no corrections) -1.826 eV/atom.